# Tb2GaRh (PBE-GGA, optimized geometry)
data_Tb2GaRh
_chemical_formula_sum 'Tb4 Ga2 Rh2'
_cell_length_a 6.005
_cell_length_b 3.891
_cell_length_c 8.357
_cell_angle_alpha 90.00
_cell_angle_beta 109.17
_cell_angle_gamma 90.00
_space_group_name_H-M_alt 'P 1 21/m 1'
_space_group_IT_number 11
loop_
_space_group_symop_operation_xyz
'x,y,z'
'-x,-y,-z'
'-x,y+1/2,-z'
'x,-y+1/2,z'
loop_
_atom_site_label
_atom_site_type_symbol
_atom_site_fract_x
_atom_site_fract_y
_atom_site_fract_z
_atom_site_occupancy
Tb1 Tb 0.190 0.250 0.409 1
Tb2 Tb 0.272 0.750 0.056 1
Ga1 Ga 0.364 0.750 0.710 1
Rh1 Rh 0.118 0.250 0.791 1
# * ΔE_f: -17.0 kcal/mol of atoms
# * V: 92.2 Å³/f.u.
# * density of states at the Fermi level: 6.4 states/eV per cell
# * calculated total energy: -5.647 eV per atom